Entry 1:
DFT (GGA-PBE) results for Ba17Mg12 after structural relaxation.

Unit cell a=11.8036 b=11.8036 c=11.8036 alpha=109.47 beta=109.47 gamma=109.47
Closest atoms and distances in Å follow each position.
Element x y z (fractional)
Ba 0.0000 0.0000 0.0000  4 Ba 3.87, 12 Mg 3.98
Ba 0.0000 0.0000 0.6723  6 Mg 3.86, 4 Ba 3.87-3.97
Ba 0.0000 0.4030 0.6893  5 Mg 3.89-4.19, 7 Ba 3.97-4.11
Ba 0.0000 0.6723 0.0000  6 Mg 3.86, 4 Ba 3.87-3.97
Ba 0.0000 0.6893 0.4030  5 Mg 3.89-4.19, 7 Ba 3.97-4.11
Ba 0.2863 0.5970 0.5970  5 Mg 3.89-4.19, 7 Ba 3.97-4.11
Ba 0.3107 0.3107 0.7137  5 Mg 3.89-4.19, 7 Ba 3.97-4.11
Ba 0.3107 0.7137 0.3107  5 Mg 3.89-4.19, 7 Ba 3.97-4.11
Ba 0.3277 0.3277 0.3277  6 Mg 3.86, 4 Ba 3.87-3.97
Ba 0.4030 0.0000 0.6893  5 Mg 3.89-4.19, 7 Ba 3.97-4.11
Ba 0.4030 0.6893 0.0000  5 Mg 3.89-4.19, 7 Ba 3.97-4.11
Ba 0.5970 0.2863 0.5970  5 Mg 3.89-4.19, 7 Ba 3.97-4.11
Ba 0.5970 0.5970 0.2863  5 Mg 3.89-4.19, 7 Ba 3.97-4.11
Ba 0.6723 0.0000 0.0000  6 Mg 3.86, 4 Ba 3.87-3.97
Ba 0.6893 0.0000 0.4030  5 Mg 3.89-4.19, 7 Ba 3.97-4.11
Ba 0.6893 0.4030 0.0000  5 Mg 3.89-4.19, 7 Ba 3.97-4.11
Ba 0.7137 0.3107 0.3107  5 Mg 3.89-4.19, 7 Ba 3.97-4.11
Mg 0.0000 0.1707 0.3534  3 Mg 3.29-3.52
Mg 0.0000 0.3534 0.1707  3 Mg 3.29-3.52
Mg 0.1707 0.0000 0.3534  3 Mg 3.29-3.52
Mg 0.1707 0.3534 0.0000  3 Mg 3.29-3.52
Mg 0.1827 0.8293 0.8293  3 Mg 3.29-3.52
Mg 0.3534 0.0000 0.1707  3 Mg 3.29-3.52
Mg 0.3534 0.1707 0.0000  3 Mg 3.29-3.52
Mg 0.6466 0.6466 0.8173  3 Mg 3.29-3.52
Mg 0.6466 0.8173 0.6466  3 Mg 3.29-3.52
Mg 0.8173 0.6466 0.6466  3 Mg 3.29-3.52
Mg 0.8293 0.1827 0.8293  3 Mg 3.29-3.52
Mg 0.8293 0.8293 0.1827  3 Mg 3.29-3.52

Properties
V ... 1266 Å³ per cell
Space group ... I-43m, No. 217
Formation energy from the elements ... 0.0323 eV/atom
Mass density ... 3.4 Mg/m³
Fermi-level density of states ... 1.422 states/eV/atom

Entry 2:
DFT (GGA-PBE) results for Ho6Bi2C after structural relaxation.

Unit cell a=6.9288 b=6.9288 c=6.9288 alpha=119.88 beta=119.88 gamma=90.21
Closest atoms and distances in Å follow each position.
Element x y z (fractional)
Ho 0.2462 0.2462 0.0000  1 C 2.41
Ho 0.2457 0.2457 0.4913  1 C 2.41
Ho 0.2457 0.7543 0.0000  1 C 2.41
Ho 0.7543 0.2457 0.0000  1 C 2.41
Ho 0.7538 0.7538 0.0000  1 C 2.41
Ho 0.7543 0.7543 0.5087  1 C 2.41
Bi 0.2500 0.7500 0.5000  12 Ho 3.46-3.47
Bi 0.7500 0.2500 0.5000  12 Ho 3.46-3.47
C 0.0000 0.0000 0.0000  6 Ho 2.41

Properties
V ... 236 Å³ per cell
Space group ... I4/mmm, No. 139
Formation energy from the elements ... -0.4158 eV/atom
Distance to the lowest polymorph of the same formula ... 0.027 eV/atom
Mass density ... 10.0 Mg/m³
Fermi-level density of states ... 0.995 states/eV/atom

Entry 3:
DFT (GGA-PBE) results for ZrCuP3 after structural relaxation.

Unit cell a=4.9916 b=4.9916 c=4.9916 alpha=90.00 beta=90.00 gamma=90.00
Closest atoms and distances in Å follow each position.
Element x y z (fractional)
Zr 0.0000 0.0000 0.0000  6 P 2.50
Cu 0.5000 0.5000 0.5000  12 P 3.53
P 0.0000 0.0000 0.5000  2 Zr 2.50
P 0.0000 0.5000 0.0000  2 Zr 2.50
P 0.5000 0.0000 0.0000  2 Zr 2.50

Properties
V ... 124 Å³ per cell
Space group ... Pm-3m, No. 221
Formation energy from the elements ... 0.7301 eV/atom
Distance to the lowest polymorph of the same formula ... 0.360 eV/atom
Mass density ... 3.3 Mg/m³
Fermi-level density of states ... 0.826 states/eV/atom

Q: V of number 1 (Ba17Mg12)?
A: 1266 Å³ per cell

Q: Look up the Fermi-level density of states of the first one.
A: 1.422 states/eV/atom

Q: Among the records above, which one has the lowest formation energy from the elements?
A: Ho6Bi2C

Q: Among the records above, which one has the highest formation energy from the elements?
A: ZrCuP3